w) The following is a PBE calculation of an optimized crystal structure of NbMoAsBr2, from Alexandria.

Computed properties:
As for the volume: 25.5 A^3/atom. The density of states at the Fermi level comes out at 8.9 states/eV/f.u. As for the size of the total moment: 1.46 μB/f.u.

Cell: 5.0564 5.0564 4.9772 Å, 90.00 90.00 90.00°
Atoms (fractional coordinates):
Nb  0.0000  0.0000  0.0000
Mo  0.5000  0.5000  0.5000
As  0.5000  0.5000  0.0000
Br  0.0000  0.5000  0.5000
Br  0.5000  0.0000  0.5000

***

x) The following is a PBE calculation of an optimized crystal structure of NbMoAsBr2, from Alexandria.

Computed properties:
As for the volume: 27.2 A^3/atom. The density of states at the Fermi level comes out at 2.1 states/eV/f.u. As for the size of the total moment: 5.30 μB/f.u.

Cell: 5.1463 5.1463 5.1325 Å, 90.00 90.00 90.00°
Atoms (fractional coordinates):
Nb  0.0000  0.0000  0.0000
Mo  0.5000  0.5000  0.5000
As  0.0000  0.0000  0.5000
Br  0.0000  0.5000  0.0000
Br  0.5000  0.0000  0.0000

***

Short version: x) is the most stable of them.